[1]
! ZnTeAs2 PBE-GGA optimized geometry; values from VASP
&SYSTEM
  ibrav = 0, nat = 4, ntyp = 3
/
ATOMIC_SPECIES
Zn 65.41 Zn.upf
Te 127.60 Te.upf
As 74.92 As.upf
CELL_PARAMETERS angstrom
0.000 3.476 3.476
3.476 0.000 3.476
3.476 3.476 0.000
ATOMIC_POSITIONS angstrom
Zn 0.000 0.000 0.000
Te 3.476 3.476 3.476
As 1.738 1.738 1.738
As 5.214 5.214 5.214
! SG: Fm-3m (225)
! E above lowest polymorph in meV/atom: 533
! Magnetization in μB per formula unit: 0.0


[2]
! CuBi2PdO6 PBE-GGA optimized geometry; values from VASP
&SYSTEM
  ibrav = 0, nat = 20, ntyp = 4
/
ATOMIC_SPECIES
Cu 63.55 Cu.upf
Bi 208.98 Bi.upf
Pd 106.42 Pd.upf
O 16.00 O.upf
CELL_PARAMETERS angstrom
5.460 0.000 0.000
0.000 5.501 0.000
-5.392 0.000 8.774
ATOMIC_POSITIONS angstrom
Cu 0.000 0.000 0.000
Cu -2.696 2.750 4.387
Bi -2.727 0.295 6.292
Bi -0.031 2.456 1.904
Bi 0.099 3.045 6.870
Bi 2.795 5.206 2.483
Pd 0.034 0.000 4.387
Pd 2.730 2.750 0.000
O -1.753 1.062 4.259
O -4.449 1.689 8.646
O -1.166 3.891 3.752
O -3.862 4.360 8.139
O 0.557 0.292 2.443
O -2.139 2.458 6.830
O 2.207 3.042 1.945
O -0.489 5.209 6.332
O 3.930 1.140 0.635
O 1.234 1.610 5.023
O 4.517 3.812 0.128
O 1.821 4.439 4.515
! SG: P2_1/c (14)
! Magnetization in μB per formula unit: 0.0
! Final energy in Ry per atom: -0.404


[3]
! Y4GaRu2 PBE-GGA optimized geometry; values from VASP
&SYSTEM
  ibrav = 0, nat = 7, ntyp = 3
/
ATOMIC_SPECIES
Y 88.91 Y.upf
Ga 69.72 Ga.upf
Ru 101.07 Ru.upf
CELL_PARAMETERS angstrom
2.448 1.414 7.852
-2.448 1.414 7.852
0.000 -2.827 7.852
ATOMIC_POSITIONS angstrom
Y 0.000 0.000 2.798
Y 0.000 0.000 8.732
Y 0.000 0.000 14.824
Y 0.000 0.000 20.759
Ga 0.000 0.000 11.778
Ru 0.000 0.000 5.802
Ru 0.000 0.000 17.755
! SG: R-3m (166)
! ΔH_f (0 K) in eV per formula unit: -2.49
! Magnetization in μB per formula unit: 0.0


[4]
! Nd6Y3Ho2Mg PBE-GGA optimized geometry; values from VASP
&SYSTEM
  ibrav = 0, nat = 12, ntyp = 4
/
ATOMIC_SPECIES
Nd 144.24 Nd.upf
Y 88.91 Y.upf
Ho 164.93 Ho.upf
Mg 24.30 Mg.upf
CELL_PARAMETERS angstrom
3.126 -5.417 0.000
3.126 5.417 0.000
-2.092 0.000 11.616
ATOMIC_POSITIONS angstrom
Nd 1.034 1.803 2.871
Nd -0.003 0.000 8.732
Nd 1.034 -1.803 2.871
Nd 3.125 1.803 8.745
Nd 4.162 0.000 2.884
Nd 3.125 -1.803 8.745
Y 2.080 3.614 5.808
Y 2.080 0.000 5.808
Y 2.080 -3.614 5.808
Ho 3.126 1.804 0.000
Ho 3.126 -1.804 0.000
Mg 0.000 0.000 0.000
! SG: C2/m (12)
! ΔH_f (0 K) in eV per formula unit: 0.25
! Magnetization in μB per formula unit: 0.0


[5]
! CsTl2InIr PBE-GGA optimized geometry; values from VASP
&SYSTEM
  ibrav = 0, nat = 5, ntyp = 4
/
ATOMIC_SPECIES
Cs 132.91 Cs.upf
Tl 204.38 Tl.upf
In 114.82 In.upf
Ir 192.22 Ir.upf
CELL_PARAMETERS angstrom
5.428 0.000 0.000
0.000 5.428 0.000
0.000 0.000 5.309
ATOMIC_POSITIONS angstrom
Cs 0.000 0.000 0.000
Tl 0.000 2.714 2.654
Tl 2.714 0.000 2.654
In 2.714 2.714 0.000
Ir 2.714 2.714 2.654
! SG: P4/mmm (123)
! ΔH_f (0 K) in eV per formula unit: -0.05
! Magnetization in μB per formula unit: 0.0


[6]
! EuTi2N PBE-GGA optimized geometry; values from VASP
&SYSTEM
  ibrav = 0, nat = 4, ntyp = 3
/
ATOMIC_SPECIES
Eu 151.96 Eu.upf
Ti 47.87 Ti.upf
N 14.01 N.upf
CELL_PARAMETERS angstrom
1.557 0.899 8.391
-1.557 0.899 8.391
0.000 -1.798 8.391
ATOMIC_POSITIONS angstrom
Eu 0.000 0.000 0.000
Ti 0.000 0.000 3.118
Ti 0.000 0.000 22.054
N 0.000 0.000 12.586
! SG: R-3m (166)
! Magnetization in μB per formula unit: 7.5
! Final energy in Ry per atom: -0.676


[7]
! BeP2Ru PBE-GGA optimized geometry; values from VASP
&SYSTEM
  ibrav = 0, nat = 4, ntyp = 3
/
ATOMIC_SPECIES
Be 9.01 Be.upf
P 30.97 P.upf
Ru 101.07 Ru.upf
CELL_PARAMETERS angstrom
1.474 0.851 6.720
-1.474 0.851 6.720
0.000 -1.702 6.720
ATOMIC_POSITIONS angstrom
Be 0.000 0.000 0.000
P 0.000 0.000 5.135
P 0.000 0.000 15.024
Ru 0.000 0.000 10.079
! SG: R-3m (166)
! ΔH_f (0 K) in eV per formula unit: -0.16
! Magnetization in μB per formula unit: 0.0


[8]
! AlSn2Pd6 PBE-GGA optimized geometry; values from VASP
&SYSTEM
  ibrav = 0, nat = 9, ntyp = 3
/
ATOMIC_SPECIES
Al 26.98 Al.upf
Sn 118.71 Sn.upf
Pd 106.42 Pd.upf
CELL_PARAMETERS angstrom
7.162 0.000 0.000
-3.581 6.203 0.000
0.000 0.000 3.375
ATOMIC_POSITIONS angstrom
Al 0.000 0.000 0.000
Sn 0.000 4.135 1.688
Sn 3.581 2.068 1.688
Pd -0.931 1.612 1.688
Pd -2.228 3.860 0.000
Pd 1.862 0.000 1.688
Pd 1.353 2.343 0.000
Pd 4.457 0.000 0.000
Pd 2.650 4.590 1.688
! SG: P-62m (189)
! E above lowest polymorph in meV/atom: 0
! ΔH_f (0 K) in eV per formula unit: -5.64
! Magnetization in μB per formula unit: 0.0


[9]
! TbScP2Ir5 PBE-GGA optimized geometry; values from VASP
&SYSTEM
  ibrav = 0, nat = 9, ntyp = 4
/
ATOMIC_SPECIES
Tb 158.93 Tb.upf
Sc 44.96 Sc.upf
P 30.97 P.upf
Ir 192.22 Ir.upf
CELL_PARAMETERS angstrom
4.002 0.000 0.000
0.000 4.002 0.000
0.000 0.000 10.654
ATOMIC_POSITIONS angstrom
Tb 0.000 0.000 0.000
Sc 0.000 0.000 5.327
P 2.001 2.001 2.282
P 2.001 2.001 8.372
Ir 0.000 2.001 3.377
Ir 0.000 2.001 7.277
Ir 2.001 0.000 3.377
Ir 2.001 0.000 7.277
Ir 2.001 2.001 0.000
! SG: P4/mmm (123)
! ΔH_f (0 K) in eV per formula unit: -5.44
! Magnetization in μB per formula unit: 0.0


[10]
! HoTmTl6 PBE-GGA optimized geometry; values from VASP
&SYSTEM
  ibrav = 0, nat = 8, ntyp = 3
/
ATOMIC_SPECIES
Ho 164.93 Ho.upf
Tm 168.93 Tm.upf
Tl 204.38 Tl.upf
CELL_PARAMETERS angstrom
4.753 0.000 0.000
0.000 4.753 0.000
0.000 0.000 9.503
ATOMIC_POSITIONS angstrom
Ho 0.000 0.000 0.000
Tm 0.000 0.000 4.752
Tl 0.000 2.376 2.384
Tl 0.000 2.376 7.119
Tl 2.376 0.000 2.384
Tl 2.376 0.000 7.119
Tl 2.376 2.376 0.000
Tl 2.376 2.376 4.752
! SG: P4/mmm (123)
! ΔH_f (0 K) in eV per formula unit: -1.59
! Magnetization in μB per formula unit: 0.0


[11]
! Y2CrRu2 PBE-GGA optimized geometry; values from VASP
&SYSTEM
  ibrav = 0, nat = 10, ntyp = 3
/
ATOMIC_SPECIES
Y 88.91 Y.upf
Cr 52.00 Cr.upf
Ru 101.07 Ru.upf
CELL_PARAMETERS angstrom
6.461 0.000 0.000
0.000 6.461 0.000
0.000 0.000 4.636
ATOMIC_POSITIONS angstrom
Y 1.148 2.083 0.000
Y 2.083 5.313 0.000
Y 4.379 1.148 0.000
Y 5.313 4.379 0.000
Cr 0.000 0.000 2.318
Cr 3.231 3.231 2.318
Ru 0.936 4.167 2.318
Ru 2.294 0.936 2.318
Ru 4.167 5.525 2.318
Ru 5.525 2.294 2.318
! SG: P4/mbm (127)
! ΔH_f (0 K) in eV per formula unit: -0.20
! Magnetization in μB per formula unit: 0.0


[12]
! La2Ti2Ga PBE-GGA optimized geometry; values from VASP
&SYSTEM
  ibrav = 0, nat = 10, ntyp = 3
/
ATOMIC_SPECIES
La 138.91 La.upf
Ti 47.87 Ti.upf
Ga 69.72 Ga.upf
CELL_PARAMETERS angstrom
7.129 0.000 0.000
0.000 7.129 0.000
0.000 0.000 4.747
ATOMIC_POSITIONS angstrom
La 1.226 2.339 0.000
La 2.339 5.904 0.000
La 4.790 1.226 0.000
La 5.904 4.790 0.000
Ti 0.992 4.556 2.374
Ti 2.573 0.992 2.374
Ti 4.556 6.138 2.374
Ti 6.138 2.573 2.374
Ga 0.000 0.000 2.374
Ga 3.565 3.565 2.374
! SG: P4/mbm (127)
! ΔH_f (0 K) in eV per formula unit: -0.03
! Magnetization in μB per formula unit: 0.0


| no. | density of states at the Fermi level (states/eV/f.u.) |
| --- | --- |
| 1 | 2.0 |
| 2 | 2.4 |
| 3 | 6.2 |
| 4 | 12.4 |
| 5 | 3.6 |
| 6 | 4.0 |
| 7 | 2.0 |
| 8 | 2.4 |
| 9 | 6.2 |
| 10 | 1.8 |
| 11 | 4.8 |
| 12 | 7.1 |